DFT (GGA-PBE) results for crystalline FeNi3Rh2 at its relaxed geometry.

Cell: 2.6444 4.4737 6.4841 Å, 84.46 101.87 90.00°
Closest atoms and distances in Å follow each position.
Sites, in units of the cell vectors:
Ni: 0.5000 0.5000 0.0000  6 Ni 2.54-2.64, 2 Rh 2.57, 4 Fe 2.60
Fe: 0.0000 0.0000 0.0000  4 Rh 2.55-2.56, 6 Ni 2.58-2.60, 2 Fe 2.64
Ni: 0.1634 0.6073 0.3268  6 Ni 2.54-2.66, 5 Rh 2.57-2.63, 1 Fe 2.58
Rh: 0.6636 0.1141 0.3275  2 Fe 2.55-2.56, 6 Ni 2.57-2.63, 4 Rh 2.64-2.67
Rh: 0.3364 0.8859 0.6725  2 Fe 2.55-2.56, 6 Ni 2.57-2.63, 4 Rh 2.64-2.67
Ni: 0.8366 0.3927 0.6732  6 Ni 2.54-2.66, 5 Rh 2.57-2.63, 1 Fe 2.58

Values from the calculation:
space-group type	No. 2
formation energy	0.01	eV/atom
E above lowest polymorph	0	meV/atom
magnetization	6.19	μB per formula unit
DFT total energy	-40.4	eV/cell